First-principles (PBE with a Hubbard U) data for a relaxed BaMgCr2F8 crystal, as listed in Alexandria.

Unit cell a=6.1929 b=6.1929 c=6.9793 alpha=90.00 beta=90.00 gamma=120.00
Closest atoms and distances in Å follow each position.
Positions (direct):
Ba  0.0000  0.0000  0.0000  6 F 2.72
Mg  0.0000  0.0000  0.5000  6 F 2.00
Cr  0.3333  0.6667  0.2623  4 F 1.91-2.06
Cr  0.6667  0.3333  0.7377  4 F 1.91-2.06
F  0.1448  0.2895  0.3192  1 Mg 2.00, 1 Cr 2.06
F  0.1448  0.8552  0.3192  1 Mg 2.00, 1 Cr 2.06
F  0.2895  0.1448  0.6808  1 Mg 2.00, 1 Cr 2.06
F  0.3333  0.6667  0.9883  1 Cr 1.91
F  0.6667  0.3333  0.0117  1 Cr 1.91
F  0.7105  0.8552  0.3192  1 Mg 2.00, 1 Cr 2.06
F  0.8552  0.1448  0.6808  1 Mg 2.00, 1 Cr 2.06
F  0.8552  0.7105  0.6808  1 Mg 2.00, 1 Cr 2.06

## Properties
As for the symmetry: P-3m1. The calculation puts the energy at -68.57 eV/cell. As for the density of states at the Fermi level: 0.00 states/eV per cell.